An optimized crystal structure of Ca2TcAu, computed with PBE.

Properties
Energy of formation, meV/atom: 237
Energy above the lowest structure with this stoichiometry, eV/atom: 0.150
Calculated total energy, Ry per atom: -0.3068

Unit cell a=7.158 b=7.158 c=7.158 alpha=90.00 beta=90.00 gamma=90.00
Space group Fm-3m (No. 225)
One atom of each set of equivalent atoms:
1 Ca 0.250 0.250 0.250 (multiplicity 8)
2 Tc 0.000 0.000 0.000 (multiplicity 4)
3 Au 0.000 0.000 0.500 (multiplicity 4)